(1)
# PBE-GGA LaDyTh2N4, optimized geometry
# Energy relative to the elements, uncorrected (meV per atom): -1540
data_LaDyTh2N4
_cell_length_a 3.6499
_cell_length_b 6.3358
_cell_length_c 6.2730
_cell_angle_alpha 109.55
_cell_angle_beta 90.00
_cell_angle_gamma 90.00
_space_group_name_H-M_alt 'P 1'
_space_group_IT_number 1
loop_
_space_group_symop_operation_xyz
'x,y,z'
loop_
_atom_site_label
_atom_site_fract_x
_atom_site_fract_y
_atom_site_fract_z
_atom_site_occupancy
Th1 0.0000 0.5000 0.5000 1
Th2 0.5000 0.0000 0.5000 1
La1 0.5000 0.5000 0.0000 1
N1 0.5000 0.7569 0.7450 1
N2 0.5000 0.2431 0.2550 1
N3 0.0000 0.2366 0.7364 1
N4 0.0000 0.7634 0.2636 1
Dy1 0.0000 0.0000 0.0000 1

(2)
# PBE-GGA NaRePd, optimized geometry
# Distance to the lowest polymorph of the same formula (eV/atom): 0.426
# Energy of formation from the pure elements (eV per atom): 0.6714
data_NaRePd
_cell_length_a 4.6203
_cell_length_b 4.6203
_cell_length_c 5.7737
_cell_angle_alpha 90.00
_cell_angle_beta 90.00
_cell_angle_gamma 120.00
_space_group_name_H-M_alt 'P 1'
_space_group_IT_number 1
loop_
_space_group_symop_operation_xyz
'x,y,z'
loop_
_atom_site_label
_atom_site_fract_x
_atom_site_fract_y
_atom_site_fract_z
_atom_site_occupancy
Na1 0.6667 0.3333 0.0000 1
Na2 0.6667 0.3333 0.5000 1
Re1 0.3333 0.6667 0.1958 1
Re2 0.3333 0.6667 0.8042 1
Pd1 0.0000 0.0000 0.2401 1
Pd2 0.0000 0.0000 0.7599 1

(3)
# PBE-GGA CoTc2Te, optimized geometry
# Energy relative to the elements, uncorrected (meV per atom): 357
data_CoTc2Te
_cell_length_a 3.2179
_cell_length_b 3.2240
_cell_length_c 5.9786
_cell_angle_alpha 90.00
_cell_angle_beta 90.00
_cell_angle_gamma 90.00
_space_group_name_H-M_alt 'P 1'
_space_group_IT_number 1
loop_
_space_group_symop_operation_xyz
'x,y,z'
loop_
_atom_site_label
_atom_site_fract_x
_atom_site_fract_y
_atom_site_fract_z
_atom_site_occupancy
Co1 0.5000 0.5000 0.7695 1
Tc1 0.5000 0.5000 0.2180 1
Tc2 0.0000 0.0000 0.9844 1
Te1 0.0000 0.0000 0.5281 1